Density functional theory data (GGA-PBE) for Sr2NbB after structural relaxation.

Lattice parameters (Å, degrees): 11.116 11.116 8.156 47.04 47.04 90.00
Last column: magnetic moment on the atom in μB.
Positions (direct):
Sr  0.450  0.125  0.250  0.03
Sr  0.300  0.625  0.250  0.04
Sr  0.375  0.550  0.750  0.04
Sr  0.875  0.700  0.750  0.04
Nb  0.000  0.000  0.000  1.35
Nb  0.750  0.250  0.500  1.34
B  0.500  0.500  0.000  -0.05
B  0.250  0.750  0.500  -0.05

Output
Total moment: 3.69 μB/cell
Calculated volume: 33.6 A^3/atom
ΔE_f: 0.69 eV per atom